(1)
# TbNd6Sc2 (PBE-GGA, relaxed)
# energy of formation from the pure elements: 54.6 kJ per mole of atoms
# theoretical density: 5.46 g cm⁻³
data_TbNd6Sc2
_cell_length_a 8.072
_cell_length_b 8.072
_cell_length_c 10.402
_cell_angle_alpha 90.00
_cell_angle_beta 90.00
_cell_angle_gamma 90.00
_space_group_name_H-M_alt 'P 42/m n m'
_space_group_IT_number 136
_space_group_name_Hall '-P 4n 2n'
loop_
_atom_site_label
_atom_site_type_symbol
_atom_site_fract_x
_atom_site_fract_y
_atom_site_fract_z
Tb1 Tb 0.000 0.000 0.000
Nd1 Nd 0.232 0.232 0.500
Nd2 Nd 0.243 0.243 0.169
Sc1 Sc 0.000 0.000 0.334



(2)
# La2NdSmH (PBE-GGA, relaxed)
# E: -4.717 eV/atom
# theoretical density: 6.69 g cm⁻³
data_La2NdSmH
_cell_length_a 5.244
_cell_length_b 5.244
_cell_length_c 5.176
_cell_angle_alpha 90.00
_cell_angle_beta 90.00
_cell_angle_gamma 90.00
_space_group_name_H-M_alt 'P 4/m m m'
_space_group_IT_number 123
_space_group_name_Hall '-P 4 2'
loop_
_atom_site_label
_atom_site_type_symbol
_atom_site_fract_x
_atom_site_fract_y
_atom_site_fract_z
La1 La 0.000 0.500 0.000
Nd1 Nd 0.000 0.000 0.500
Sm1 Sm 0.500 0.500 0.500
H1 H 0.500 0.500 0.000



(3)
# SrHoMgAg (PBE-GGA, relaxed)
# energy of formation from the pure elements: -6.2 kJ per mole of atoms
# theoretical density: 5.60 g cm⁻³
data_SrHoMgAg
_cell_length_a 7.700
_cell_length_b 7.700
_cell_length_c 7.700
_cell_angle_alpha 90.00
_cell_angle_beta 90.00
_cell_angle_gamma 90.00
_space_group_name_H-M_alt 'F -4 3 m'
_space_group_IT_number 216
_space_group_name_Hall 'F -4 2 3'
loop_
_atom_site_label
_atom_site_type_symbol
_atom_site_fract_x
_atom_site_fract_y
_atom_site_fract_z
Sr1 Sr 0.000 0.000 0.000
Ho1 Ho 0.000 0.000 0.500
Mg1 Mg 0.250 0.250 0.750
Ag1 Ag 0.250 0.250 0.250



(4)
# KMnNi (PBE-GGA, relaxed)
# energy of formation from the pure elements: 55.7 kJ per mole of atoms
# theoretical density: 3.77 g cm⁻³
data_KMnNi
_cell_length_a 3.310
_cell_length_b 3.310
_cell_length_c 12.273
_cell_angle_alpha 90.00
_cell_angle_beta 90.00
_cell_angle_gamma 90.00
_space_group_name_H-M_alt 'I 4 m m'
_space_group_IT_number 107
_space_group_name_Hall 'I 4 -2'
loop_
_atom_site_label
_atom_site_type_symbol
_atom_site_fract_x
_atom_site_fract_y
_atom_site_fract_z
K1 K 0.000 0.000 0.000
Mn1 Mn 0.000 0.000 0.268
Ni1 Ni 0.000 0.000 0.718



(5)
# La2RuC2 (PBE-GGA, relaxed)
# energy of formation from the pure elements: 6.7 kJ per mole of atoms
# theoretical density: 7.66 g cm⁻³
data_La2RuC2
_cell_length_a 10.625
_cell_length_b 5.566
_cell_length_c 6.245
_cell_angle_alpha 90.00
_cell_angle_beta 108.88
_cell_angle_gamma 90.00
_space_group_name_H-M_alt 'C 1 2/c 1'
_space_group_IT_number 15
_space_group_name_Hall '-C 2yc'
loop_
_atom_site_label
_atom_site_type_symbol
_atom_site_fract_x
_atom_site_fract_y
_atom_site_fract_z
La1 La 0.155 0.123 0.199
Ru1 Ru 0.000 0.426 0.750
C1 C 0.094 0.331 0.521



(6)
# SrNb3F (PBE-GGA, relaxed)
# uncorrected formation energy: 0.424 eV per atom
# theoretical density: 6.58 g cm⁻³
data_SrNb3F
_cell_length_a 4.599
_cell_length_b 4.599
_cell_length_c 4.599
_cell_angle_alpha 90.00
_cell_angle_beta 90.00
_cell_angle_gamma 90.00
_space_group_name_H-M_alt 'P m -3 m'
_space_group_IT_number 221
_space_group_name_Hall '-P 4 2 3'
loop_
_atom_site_label
_atom_site_type_symbol
_atom_site_fract_x
_atom_site_fract_y
_atom_site_fract_z
Sr1 Sr 0.000 0.000 0.000
Nb1 Nb 0.000 0.500 0.500
F1 F 0.500 0.500 0.500



Repeat the fifth record exactly.
# La2RuC2 (PBE-GGA, relaxed)
# energy of formation from the pure elements: 6.7 kJ per mole of atoms
# theoretical density: 7.66 g cm⁻³
data_La2RuC2
_cell_length_a 10.625
_cell_length_b 5.566
_cell_length_c 6.245
_cell_angle_alpha 90.00
_cell_angle_beta 108.88
_cell_angle_gamma 90.00
_space_group_name_H-M_alt 'C 1 2/c 1'
_space_group_IT_number 15
_space_group_name_Hall '-C 2yc'
loop_
_atom_site_label
_atom_site_type_symbol
_atom_site_fract_x
_atom_site_fract_y
_atom_site_fract_z
La1 La 0.155 0.123 0.199
Ru1 Ru 0.000 0.426 0.750
C1 C 0.094 0.331 0.521



- Among the records above, which one has the lowest theoretical density?
  KMnNi